Entry 1:
A plane-wave DFT calculation with PBE-GGA was carried out for a relaxed TlTeSe2Br crystal.

```
TlTeSe2Br
1.0
5.434 0.000 0.000
0.000 5.434 0.000
0.000 0.000 5.704
Tl Te Se Br
1 1 2 1
direct
0.000 0.000 0.000
0.500 0.500 0.500
0.000 0.500 0.500
0.500 0.000 0.500
0.500 0.500 0.000
```

Computed properties:
The volume is 168 Å³/f.u. The calculation puts the density of states at the Fermi level at 0.82 states/eV/f.u. The space group is P4/mmm. The offset from the most stable computed form is 0 meV per atom. As for the total energy: -2.91 eV/atom. The value obtained for the size of the total moment is 0.000 μB per cell. For the raw formation energy, the calculation gives -77 meV per atom.



Entry 2:
A plane-wave DFT calculation with PBE-GGA was carried out for a relaxed Tl6TeSe2Br crystal.

```
Tl6TeSe2Br
1.0
7.706 0.000 0.000
-3.852 6.711 0.000
-3.831 -2.213 6.987
Tl Te Se Br
6 1 2 1
direct
0.000 0.000 0.000
0.006 0.172 0.595
0.185 0.568 0.999
0.378 0.774 0.593
0.610 0.403 0.591
0.618 0.184 0.998
0.462 0.013 0.289
0.053 0.811 0.676
0.156 0.362 0.332
0.609 0.586 0.010
```

Computed properties:
The volume is 361 Å³/f.u. The calculation puts the density of states at the Fermi level at 5.89 states/eV/f.u. The space group is P1. As for the total energy: -2.95 eV/atom. The value obtained for the size of the total moment is 0.000 μB per cell. For the raw formation energy, the calculation gives -352 meV per atom.



Entry 3:
A plane-wave DFT calculation with PBE-GGA was carried out for a relaxed Tl2TeSe2Br2 crystal.

```
Tl2TeSe2Br2
1.0
-2.749 2.749 8.080
2.749 -2.749 8.080
2.749 2.749 -8.080
Tl Te Se Br
2 1 2 2
direct
0.123 0.123 0.000
0.877 0.877 0.000
0.500 0.500 0.000
0.000 0.500 0.500
0.500 0.000 0.500
0.328 0.328 0.000
0.672 0.672 0.000
```

Computed properties:
The volume is 244 Å³/f.u. The calculation puts the density of states at the Fermi level at 0.91 states/eV/f.u. The space group is I4/mmm. As for the total energy: -2.96 eV/atom. The value obtained for the size of the total moment is 0.000 μB per cell. For the raw formation energy, the calculation gives -362 meV per atom.



Entry 4:
A plane-wave DFT calculation with PBE-GGA was carried out for a relaxed VTeSeBr2 crystal.

```
VTeSeBr2
1.0
4.888 0.000 0.000
0.000 4.888 0.000
0.000 0.000 5.128
V Te Se Br
1 1 1 2
direct
0.000 0.000 0.000
0.500 0.500 0.500
0.000 0.000 0.500
0.000 0.500 0.000
0.500 0.000 0.000
```

Computed properties:
The volume is 123 Å³/f.u. The calculation puts the density of states at the Fermi level at 7.49 states/eV/f.u. The space group is P4/mmm. The offset from the most stable computed form is 0 meV per atom. As for the total energy: -3.77 eV/atom. The value obtained for the size of the total moment is 0.000 μB per cell. For the raw formation energy, the calculation gives 46 meV per atom.



Entry 5:
A plane-wave DFT calculation with PBE-GGA was carried out for a relaxed TeWSeBr2 crystal.

```
TeWSeBr2
1.0
5.062 0.000 0.000
0.000 5.062 0.000
0.000 0.000 4.983
Te W Se Br
1 1 1 2
direct
0.000 0.000 0.000
0.500 0.500 0.500
0.500 0.500 0.000
0.000 0.500 0.500
0.500 0.000 0.500
```

Computed properties:
The volume is 128 Å³/f.u. The calculation puts the density of states at the Fermi level at 5.27 states/eV/f.u. The space group is P4/mmm. The offset from the most stable computed form is 0 meV per atom. As for the total energy: -4.12 eV/atom. The value obtained for the size of the total moment is 0.006 μB per cell. For the raw formation energy, the calculation gives 464 meV per atom.



Entry 6:
A plane-wave DFT calculation with PBE-GGA was carried out for a relaxed TeWSeBr2 crystal.

```
TeWSeBr2
1.0
5.443 0.000 0.000
0.000 5.443 0.000
0.000 0.000 5.622
Te W Se Br
1 1 1 2
direct
0.000 0.000 0.000
0.500 0.500 0.500
0.000 0.000 0.500
0.000 0.500 0.000
0.500 0.000 0.000
```

Computed properties:
The volume is 167 Å³/f.u. The calculation puts the density of states at the Fermi level at 4.93 states/eV/f.u. The space group is P4/mmm. The offset from the most stable computed form is 887 meV per atom. As for the total energy: -3.23 eV/atom. The value obtained for the size of the total moment is 4.968 μB per cell. For the raw formation energy, the calculation gives 1351 meV per atom.



Entry 7:
A plane-wave DFT calculation with PBE-GGA was carried out for a relaxed YTeSeBr2 crystal.

```
YTeSeBr2
1.0
5.634 0.000 0.000
0.000 5.634 0.000
0.000 0.000 5.478
Y Te Se Br
1 1 1 2
direct
0.000 0.000 0.000
0.500 0.500 0.500
0.500 0.500 0.000
0.000 0.500 0.500
0.500 0.000 0.500
```

Computed properties:
The volume is 174 Å³/f.u. The calculation puts the density of states at the Fermi level at 6.74 states/eV/f.u. The space group is P4/mmm. The offset from the most stable computed form is 760 meV per atom. As for the total energy: -3.25 eV/atom. The value obtained for the size of the total moment is 0.988 μB per cell. For the raw formation energy, the calculation gives 37 meV per atom.



Entry 8:
A plane-wave DFT calculation with PBE-GGA was carried out for a relaxed YTeSeBr2 crystal.

```
YTeSeBr2
1.0
5.485 0.000 0.000
0.000 5.485 0.000
0.000 0.000 5.725
Y Te Se Br
1 1 1 2
direct
0.000 0.000 0.000
0.500 0.500 0.500
0.000 0.000 0.500
0.000 0.500 0.000
0.500 0.000 0.000
```

Computed properties:
The volume is 172 Å³/f.u. The calculation puts the density of states at the Fermi level at 4.28 states/eV/f.u. The space group is P4/mmm. The offset from the most stable computed form is 0 meV per atom. As for the total energy: -4.01 eV/atom. The value obtained for the size of the total moment is 1.795 μB per cell. For the raw formation energy, the calculation gives -723 meV per atom.



Entry 9:
A plane-wave DFT calculation with PBE-GGA was carried out for a relaxed ZnTeSe2Br crystal.

```
ZnTeSe2Br
1.0
5.044 0.000 0.000
0.000 5.044 0.000
0.000 0.000 4.909
Zn Te Se Br
1 1 2 1
direct
0.000 0.000 0.000
0.500 0.500 0.500
0.000 0.500 0.000
0.500 0.000 0.000
0.000 0.000 0.500
```

Computed properties:
The volume is 125 Å³/f.u. The calculation puts the density of states at the Fermi level at 3.49 states/eV/f.u. The space group is P4/mmm. The offset from the most stable computed form is 0 meV per atom. As for the total energy: -2.38 eV/atom. The value obtained for the size of the total moment is 0.000 μB per cell. For the raw formation energy, the calculation gives 234 meV per atom.



Entry 10:
A plane-wave DFT calculation with PBE-GGA was carried out for a relaxed ZnTeSe2Br crystal.

```
ZnTeSe2Br
1.0
5.421 0.000 0.000
0.000 5.421 0.000
0.000 0.000 5.543
Zn Te Se Br
1 1 2 1
direct
0.000 0.000 0.000
0.500 0.500 0.500
0.000 0.500 0.500
0.500 0.000 0.500
0.500 0.500 0.000
```

Computed properties:
The volume is 163 Å³/f.u. The calculation puts the density of states at the Fermi level at 3.93 states/eV/f.u. The space group is P4/mmm. The offset from the most stable computed form is 146 meV per atom. As for the total energy: -2.23 eV/atom. The value obtained for the size of the total moment is 0.000 μB per cell. For the raw formation energy, the calculation gives 380 meV per atom.



Entry 11:
A plane-wave DFT calculation with PBE-GGA was carried out for a relaxed ZrTeSe2Br crystal.

```
ZrTeSe2Br
1.0
5.277 0.000 0.000
0.000 5.277 0.000
0.000 0.000 5.266
Zr Te Se Br
1 1 2 1
direct
0.000 0.000 0.000
0.500 0.500 0.500
0.000 0.500 0.000
0.500 0.000 0.000
0.000 0.000 0.500
```

Computed properties:
The volume is 147 Å³/f.u. The calculation puts the density of states at the Fermi level at 4.74 states/eV/f.u. The space group is P4/mmm. The offset from the most stable computed form is 0 meV per atom. As for the total energy: -4.40 eV/atom. The value obtained for the size of the total moment is 1.167 μB per cell. For the raw formation energy, the calculation gives -336 meV per atom.



Entry 12:
A plane-wave DFT calculation with PBE-GGA was carried out for a relaxed ZrTeSe2Br crystal.

```
ZrTeSe2Br
1.0
5.460 0.000 0.000
0.000 5.460 0.000
0.000 0.000 5.259
Zr Te Se Br
1 1 2 1
direct
0.000 0.000 0.000
0.500 0.500 0.500
0.000 0.500 0.500
0.500 0.000 0.500
0.500 0.500 0.000
```

Computed properties:
The volume is 157 Å³/f.u. The calculation puts the density of states at the Fermi level at 4.07 states/eV/f.u. The space group is P4/mmm. The offset from the most stable computed form is 861 meV per atom. As for the total energy: -3.54 eV/atom. The value obtained for the size of the total moment is 2.009 μB per cell. For the raw formation energy, the calculation gives 525 meV per atom.



Please write out number 9 again, unchanged.
A plane-wave DFT calculation with PBE-GGA was carried out for a relaxed ZnTeSe2Br crystal.

```
ZnTeSe2Br
1.0
5.044 0.000 0.000
0.000 5.044 0.000
0.000 0.000 4.909
Zn Te Se Br
1 1 2 1
direct
0.000 0.000 0.000
0.500 0.500 0.500
0.000 0.500 0.000
0.500 0.000 0.000
0.000 0.000 0.500
```

Computed properties:
The volume is 125 Å³/f.u. The calculation puts the density of states at the Fermi level at 3.49 states/eV/f.u. The space group is P4/mmm. The offset from the most stable computed form is 0 meV per atom. As for the total energy: -2.38 eV/atom. The value obtained for the size of the total moment is 0.000 μB per cell. For the raw formation energy, the calculation gives 234 meV per atom.



> size of the total moment of number 1 (TlTeSe2Br)?

0.000 μB per cell